# LaSmNi PBE optimized geometry
# - excess energy over the best structure of this formula in the dataset (kJ/mol of atoms) = 7.2
# - size of the total moment (Bohr magnetons per cell) = 0.01
# - total energy (eV per atom) = -5.062
# - ΔE_f (eV/atom) = 0.005
data_LaSmNi
_space_group_name_H-M_alt 'I 41 m d'
_space_group_IT_number 109
_space_group_name_Hall 'I 4bw -2'
_cell_length_a 4.571
_cell_length_b 4.571
_cell_length_c 15.477
_cell_angle_alpha 90.00
_cell_angle_beta 90.00
_cell_angle_gamma 90.00
loop_
_atom_site_label
_atom_site_type_symbol
_atom_site_fract_x
_atom_site_fract_y
_atom_site_fract_z
_atom_site_occupancy
La1 La 0.000 0.000 0.000 1
Sm1 Sm 0.000 0.000 0.417 1
Ni1 Ni 0.000 0.000 0.586 1

# GaTcNO PBE optimized geometry
# - excess energy over the best structure of this formula in the dataset (kJ/mol of atoms) = 0.0
# - size of the total moment (Bohr magnetons per cell) = 0.01
# - total energy (eV per atom) = -7.343
data_GaTcNO
_space_group_name_H-M_alt 'P c a 21'
_space_group_IT_number 29
_cell_length_a 5.324
_cell_length_b 7.670
_cell_length_c 4.898
_cell_angle_alpha 90.00
_cell_angle_beta 90.00
_cell_angle_gamma 90.00
loop_
_space_group_symop_operation_xyz
'x,y,z'
'-x,-y,z+1/2'
'-x+1/2,y,z+1/2'
'x+1/2,-y,z'
loop_
_atom_site_label
_atom_site_type_symbol
_atom_site_fract_x
_atom_site_fract_y
_atom_site_fract_z
_atom_site_occupancy
Ga1 Ga 0.065 0.127 0.000 1
Tc1 Tc 0.121 0.528 0.947 1
N1 N 0.094 0.668 0.608 1
O1 O 0.113 0.071 0.633 1

# Nb PBE optimized geometry
# - excess energy over the best structure of this formula in the dataset (kJ/mol of atoms) = 58.0
# - size of the total moment (Bohr magnetons per cell) = 0.00
# - total energy (eV per atom) = -9.493
# - ΔE_f (eV/atom) = 0.601
data_Nb
_space_group_name_H-M_alt 'I 41/a m d'
_space_group_IT_number 141
_cell_length_a 5.215
_cell_length_b 5.215
_cell_length_c 2.846
_cell_angle_alpha 90.00
_cell_angle_beta 90.00
_cell_angle_gamma 90.00
loop_
_space_group_symop_operation_xyz
'x,y,z'
'-x,-y,-z'
'-y+1/4,x+3/4,z+1/4'
'y+1/4,-x+3/4,-z+1/4'
'-x+1/2,-y,z+1/2'
'x+1/2,y,-z+1/2'
'y+1/4,-x+1/4,z+3/4'
'-y+1/4,x+1/4,-z+3/4'
'x,-y,-z'
'-x,y,z'
'-y+1/4,-x+1/4,-z+3/4'
'y+1/4,x+1/4,z+3/4'
'-x+1/2,y,-z+1/2'
'x+1/2,-y,z+1/2'
'y+1/4,x+3/4,-z+1/4'
'-y+1/4,-x+3/4,z+1/4'
'x+1/2,y+1/2,z+1/2'
'-x+1/2,-y+1/2,-z+1/2'
'-y+3/4,x+1/4,z+3/4'
'y+3/4,-x+1/4,-z+3/4'
'-x,-y+1/2,z'
'x,y+1/2,-z'
'y+3/4,-x+3/4,z+1/4'
'-y+3/4,x+3/4,-z+1/4'
'x+1/2,-y+1/2,-z+1/2'
'-x+1/2,y+1/2,z+1/2'
'-y+3/4,-x+3/4,-z+1/4'
'y+3/4,x+3/4,z+1/4'
'-x,y+1/2,-z'
'x,-y+1/2,z'
'y+3/4,x+1/4,-z+3/4'
'-y+3/4,-x+1/4,z+3/4'
loop_
_atom_site_label
_atom_site_type_symbol
_atom_site_fract_x
_atom_site_fract_y
_atom_site_fract_z
_atom_site_occupancy
Nb1 Nb 0.000 0.250 0.375 1

# Al2FeCu4Ni PBE optimized geometry
# - excess energy over the best structure of this formula in the dataset (kJ/mol of atoms) = 1.0
# - size of the total moment (Bohr magnetons per cell) = 9.17
# - total energy (eV per atom) = -4.649
data_Al2FeCu4Ni
_space_group_name_H-M_alt 'I 41/a m d'
_space_group_IT_number 141
_cell_length_a 5.643
_cell_length_b 5.643
_cell_length_c 11.939
_cell_angle_alpha 90.00
_cell_angle_beta 90.00
_cell_angle_gamma 90.00
loop_
_space_group_symop_operation_xyz
'x,y,z'
'-x,-y,-z'
'-y+1/4,x+3/4,z+1/4'
'y+1/4,-x+3/4,-z+1/4'
'-x+1/2,-y,z+1/2'
'x+1/2,y,-z+1/2'
'y+1/4,-x+1/4,z+3/4'
'-y+1/4,x+1/4,-z+3/4'
'x,-y,-z'
'-x,y,z'
'-y+1/4,-x+1/4,-z+3/4'
'y+1/4,x+1/4,z+3/4'
'-x+1/2,y,-z+1/2'
'x+1/2,-y,z+1/2'
'y+1/4,x+3/4,-z+1/4'
'-y+1/4,-x+3/4,z+1/4'
'x+1/2,y+1/2,z+1/2'
'-x+1/2,-y+1/2,-z+1/2'
'-y+3/4,x+1/4,z+3/4'
'y+3/4,-x+1/4,-z+3/4'
'-x,-y+1/2,z'
'x,y+1/2,-z'
'y+3/4,-x+3/4,z+1/4'
'-y+3/4,x+3/4,-z+1/4'
'x+1/2,-y+1/2,-z+1/2'
'-x+1/2,y+1/2,z+1/2'
'-y+3/4,-x+3/4,-z+1/4'
'y+3/4,x+3/4,z+1/4'
'-x,y+1/2,-z'
'x,-y+1/2,z'
'y+3/4,x+1/4,-z+3/4'
'-y+3/4,-x+1/4,z+3/4'
loop_
_atom_site_label
_atom_site_type_symbol
_atom_site_fract_x
_atom_site_fract_y
_atom_site_fract_z
_atom_site_occupancy
Al1 Al 0.000 0.250 0.123 1
Fe1 Fe 0.000 0.250 0.875 1
Cu1 Cu 0.249 0.000 0.500 1
Ni1 Ni 0.000 0.250 0.375 1

# AlCuSiH6 PBE optimized geometry
# - total energy (eV per atom) = -3.162
data_AlCuSiH6
_space_group_name_H-M_alt 'F -4 3 m'
_space_group_IT_number 216
_space_group_name_Hall 'F -4 2 3'
_cell_length_a 6.539
_cell_length_b 6.539
_cell_length_c 6.539
_cell_angle_alpha 90.00
_cell_angle_beta 90.00
_cell_angle_gamma 90.00
loop_
_atom_site_label
_atom_site_type_symbol
_atom_site_fract_x
_atom_site_fract_y
_atom_site_fract_z
_atom_site_occupancy
Al1 Al 0.000 0.000 0.000 1
Cu1 Cu 0.000 0.000 0.500 1
Si1 Si 0.250 0.250 0.750 1
H1 H 0.001 0.250 0.750 1

# Pr3NdP2Br2 PBE optimized geometry
# - size of the total moment (Bohr magnetons per cell) = 0.00
# - total energy (eV per atom) = -5.678
data_Pr3NdP2Br2
_space_group_name_H-M_alt 'P 3 m 1'
_space_group_IT_number 156
_cell_length_a 4.1443
_cell_length_b 4.1443
_cell_length_c 14.9288
_cell_angle_alpha 90.00
_cell_angle_beta 90.00
_cell_angle_gamma 120.00
loop_
_space_group_symop_operation_xyz
'x,y,z'
'-y,x-y,z'
'-x+y,-x,z'
'-y,-x,z'
'-x+y,y,z'
'x,x-y,z'
loop_
_atom_site_label
_atom_site_type_symbol
_atom_site_fract_x
_atom_site_fract_y
_atom_site_fract_z
_atom_site_occupancy
Pr1 Pr 0.0000 0.0000 0.0000 1
Pr2 Pr 0.0000 0.0000 0.2968 1
Pr3 Pr 0.3333 0.6667 0.7951 1
Nd1 Nd 0.3333 0.6667 0.4994 1
P1 P 0.6667 0.3333 0.3996 1
P2 P 0.6667 0.3333 0.8975 1
Br1 Br 0.0000 0.0000 0.6457 1
Br2 Br 0.3333 0.6667 0.1483 1

Question: Number 1 is which compound?
Answer: LaSmNi

Question: Which value of total energy does entry 4 give?
Answer: -4.649 eV per atom

Question: Look up the total energy of the second one.
Answer: -7.343 eV per atom

Question: total energy of number 3 (Nb)?
Answer: -9.493 eV per atom